(1)
Entry from the Alexandria database: a relaxed NdPaMnN3 crystal (PBE-GGA).

Calculated values
Space-group type = P2_1/m
Calculated volume = 89.1 Å³/f.u.

Cell lengths 3.4165, 7.3206, 7.2963 Å; angles 102.31, 90.00, 90.00 degrees
Fractional coordinates of all 12 atoms:
N 0.7500 0.1812 0.4697
N 0.7500 0.8767 0.1462
N 0.2500 0.1233 0.8538
N 0.2500 0.8188 0.5303
N 0.2500 0.5632 0.8625
N 0.7500 0.4368 0.1375
Nd 0.2500 0.1737 0.2056
Nd 0.7500 0.8263 0.7944
Mn 0.2500 0.0840 0.5725
Mn 0.7500 0.9160 0.4275
Pa 0.7500 0.3365 0.8163
Pa 0.2500 0.6635 0.1837

(2)
Entry from the Alexandria database: a relaxed Tl3MoCl8 crystal (PBE-GGA).

Calculated values
Space-group type = P6_3mc
Calculated volume = 361.8 Å³/f.u.

Cell lengths 9.6524, 9.3043, 9.3043 Å; angles 120.00, 90.00, 90.00 degrees
Fractional coordinates of all 24 atoms:
Cl 0.1880 0.6667 0.3333
Cl 0.8024 0.7868 0.5735
Cl 0.6880 0.3333 0.6667
Cl 0.4436 0.0000 0.0000
Cl 0.8024 0.4265 0.2132
Cl 0.5242 0.5467 0.4533
Cl 0.3024 0.2132 0.7868
Cl 0.9436 0.0000 0.0000
Cl 0.3024 0.2132 0.4265
Cl 0.0242 0.4533 0.9066
Cl 0.5242 0.5467 0.0934
Cl 0.8024 0.7868 0.2132
Cl 0.0242 0.0934 0.5467
Cl 0.0242 0.4533 0.5467
Cl 0.3024 0.5735 0.7868
Cl 0.5242 0.9066 0.4533
Mo 0.1599 0.3333 0.6667
Mo 0.6599 0.6667 0.3333
Tl 0.1673 0.3019 0.1510
Tl 0.1673 0.8490 0.1510
Tl 0.6673 0.1510 0.3019
Tl 0.1673 0.8490 0.6981
Tl 0.6673 0.6981 0.8490
Tl 0.6673 0.1510 0.8490

Number 1: total magnetization 0.00 μB per cell, total energy -9.207 eV/atom. Number 2: total magnetization 1.99 μB per cell, total energy -3.624 eV/atom.